(1)
12
Lattice="8.9586 0.0000 0.0000 -4.4793 7.7584 0.0000 0.0000 0.0000 4.1612" Properties=species:S:1:pos:R:3 comment="MnBi (GGA-PBE, relaxed)" formation_energy_ev_per_fu=0.63 mass_density_g_cm3=9.09 sg="P6_3/mmc (194)" energy_ry_per_atom=-0.4565 pbc="T T T"
Mn 0.0000 6.7547 1.0403
Mn 3.1088 3.3774 3.1209
Mn -1.3705 4.3810 1.0403
Mn 4.4793 1.0036 3.1209
Mn 1.3705 4.3810 1.0403
Mn 5.8498 3.3774 3.1209
Bi 4.4793 4.8035 1.0403
Bi -1.9203 6.2809 3.1209
Bi 2.5590 1.4774 1.0403
Bi 0.0000 2.9549 3.1209
Bi 6.3996 1.4775 1.0403
Bi 1.9203 6.2810 3.1209

---

(2)
12
Lattice="-1.3119 -3.6792 -3.7077 3.7926 -2.8953 -2.3803 -1.4023 -8.3260 4.8468" Properties=species:S:1:pos:R:3 comment="HfPaNi (GGA-PBE, relaxed)" formation_energy_ev_per_fu=-0.88 mass_density_g_cm3=13.41 sg="Fddd (70)" energy_ry_per_atom=-0.6397 de_polymorph_mev_per_atom=2 pbc="T T T"
Hf 0.7466 -7.5779 1.3884
Hf 0.9877 -5.4830 -0.7757
Hf -1.9378 -9.1181 1.9109
Hf -0.7765 -2.8871 -0.7718
Ni 0.0270 -9.9709 0.1062
Ni 0.3954 -6.7692 -3.2012
Ni -1.2181 -6.7252 3.1931
Ni -1.4961 -5.2800 -2.0540
Pa -1.3216 -8.0063 -1.3661
Pa 1.7441 -8.7339 -1.7289
Pa 0.2210 -4.0430 -3.8891
Pa 2.2598 -2.5316 -2.1989

---

(3)
3
Lattice="3.7435 0.0000 0.0000 0.0000 4.1702 0.0000 0.0000 -2.0851 3.6115" Properties=species:S:1:pos:R:3 comment="TmSiIr (GGA-PBE, relaxed)" mass_density_g_cm3=11.46 sg="P-6m2 (187)" energy_ry_per_atom=-0.5291 formation_energy_uncorrected_ev_per_atom=-0.947 pbc="T T T"
Si 0.6235 2.0851 1.2038
Ir 0.6242 0.0000 0.0000
Tm 2.4957 0.0000 2.4076

---

(4)
24
Lattice="-2.2736 0.9004 -2.7613 11.8879 1.5276 -9.2898 -5.7200 -14.0436 0.1303" Properties=species:S:1:pos:R:3 comment="Sm9Dy4Ho11 (GGA-PBE, relaxed)" formation_energy_ev_per_fu=1.22 mass_density_g_cm3=8.13 sg="Cmmm (65)" energy_ry_per_atom=-0.3369 pbc="T T T"
Sm 5.4227 -0.8812 -7.2156
Sm -1.5284 -10.7344 -4.7053
Sm -2.8004 -8.1531 -2.8162
Sm 6.6948 -3.4624 -9.1046
Sm 2.8744 -11.4607 -8.5671
Sm 1.0200 -0.1548 -3.3537
Sm 5.4633 -9.1712 -9.9522
Sm -1.5690 -2.4443 -1.9687
Sm 1.9472 -5.8078 -5.9604
Dy 1.1366 -9.3153 -6.4368
Dy 2.7577 -2.3003 -5.4841
Dy 4.6734 -6.1876 -8.3289
Dy -0.7791 -5.4279 -3.5919
Ho 1.5992 -12.5054 -5.3944
Ho 4.5687 -0.0106 -3.7651
Ho 7.9559 -6.8839 -8.7952
Ho -1.7880 -5.6320 -0.3643
Ho 5.4241 -4.1886 -5.8317
Ho 0.7438 -8.3274 -3.3278
Ho 9.0540 -0.9785 -7.7737
Ho -2.8861 -11.5375 -1.3858
Ho 0.0000 0.0000 0.0000
Ho 4.3796 -8.8871 -6.5038
Ho 1.7883 -3.6289 -2.6557